Entry 1:
DFT (PBE) results for a relaxed structure of PmNd5SmY2.

Lattice parameters (Å, degrees): 5.738 10.655 10.725 90.00 90.00 105.62
Fractional positions:
Pm1 0.798 0.596 0.509
Pm2 0.202 0.404 0.009
Nd1 0.393 0.786 0.026
Nd2 0.718 0.437 0.809
Nd3 0.478 0.956 0.742
Nd4 0.296 0.592 0.703
Nd5 0.982 0.964 0.523
Nd6 0.607 0.214 0.526
Nd7 0.282 0.563 0.309
Nd8 0.522 0.044 0.242
Nd9 0.704 0.408 0.203
Nd10 0.018 0.036 0.023
Sm1 0.588 0.176 0.954
Sm2 0.412 0.824 0.454
Y1 0.882 0.765 0.823
Y2 0.111 0.223 0.734
Y3 0.118 0.235 0.323
Y4 0.889 0.777 0.234

**M_tot**: 0.00 μB per cell
**Fermi-level density of states**: 14.27 states/eV/f.u.
**SG**: Cmc2_1 (36)
**ΔE_f**: 0.14 eV per atom

---

Entry 2:
DFT (PBE) results for a relaxed structure of PmNd6SmY2.

Lattice parameters (Å, degrees): 9.688 8.999 8.999 116.66 93.50 93.50
Fractional positions:
Pm1 0.250 0.408 0.592
Pm2 0.750 0.592 0.408
Nd1 0.058 0.109 0.760
Nd2 0.442 0.240 0.891
Nd3 0.942 0.891 0.240
Nd4 0.558 0.760 0.109
Nd5 0.316 0.989 0.439
Nd6 0.184 0.561 0.011
Nd7 0.684 0.011 0.561
Nd8 0.816 0.439 0.989
Nd9 0.117 0.704 0.481
Nd10 0.383 0.519 0.296
Nd11 0.883 0.296 0.519
Nd12 0.617 0.481 0.704
Sm1 0.250 0.965 0.035
Sm2 0.750 0.035 0.965
Y1 0.450 0.800 0.706
Y2 0.050 0.294 0.200
Y3 0.550 0.200 0.294
Y4 0.950 0.706 0.800

**M_tot**: 0.00 μB per cell
**Fermi-level density of states**: 14.96 states/eV/f.u.
**SG**: C2/c (15)
**ΔE_f**: 0.12 eV per atom

---

Entry 3:
DFT (PBE) results for a relaxed structure of Pm6Nd2SmY.

Lattice parameters (Å, degrees): 9.891 8.974 8.974 118.31 94.42 94.42
Fractional positions:
Pm1 0.055 0.121 0.749
Pm2 0.445 0.251 0.879
Pm3 0.945 0.879 0.251
Pm4 0.555 0.749 0.121
Pm5 0.313 0.982 0.427
Pm6 0.187 0.573 0.018
Pm7 0.687 0.018 0.573
Pm8 0.813 0.427 0.982
Pm9 0.120 0.707 0.497
Pm10 0.380 0.503 0.293
Pm11 0.880 0.293 0.503
Pm12 0.620 0.497 0.707
Nd1 0.458 0.804 0.703
Nd2 0.042 0.297 0.196
Nd3 0.542 0.196 0.297
Nd4 0.958 0.703 0.804
Sm1 0.250 0.980 0.020
Sm2 0.750 0.020 0.980
Y1 0.250 0.408 0.592
Y2 0.750 0.592 0.408

**M_tot**: 0.00 μB per cell
**Fermi-level density of states**: 14.64 states/eV/f.u.
**SG**: C2/c (15)
**ΔE_f**: 0.11 eV per atom

---

Entry 4:
DFT (PBE) results for a relaxed structure of Pm2Nd4Sm2Y.

Lattice parameters (Å, degrees): 3.682 9.725 9.816 115.10 90.00 100.91
Fractional positions:
Pm1 0.334 0.668 0.001
Pm2 0.666 0.332 0.999
Nd1 0.815 0.630 0.668
Nd2 0.185 0.370 0.332
Nd3 0.518 0.036 0.332
Nd4 0.482 0.964 0.668
Sm1 0.852 0.703 0.331
Sm2 0.148 0.297 0.669
Y1 0.000 0.000 0.000

**M_tot**: 0.00 μB per cell
**Fermi-level density of states**: 11.69 states/eV/f.u.
**SG**: C2/m (12)
**ΔE_f**: 0.01 eV per atom